Below is an optimized crystal structure of YAgAu2I, with properties calculated at the PBE-GGA level.

```
YAgAu2I
1.0
5.174 0.000 0.000
0.000 5.351 0.000
0.000 0.000 5.174
I Ag Au Y
1 1 2 1
Direct
0.000 0.500 0.000
0.000 0.000 0.000
0.000 0.000 0.500
0.500 0.000 0.000
0.500 0.500 0.500
```

ΔE_f (raw): 0.243 eV/atom
Final energy: -0.119 hartree per atom
Density: 8.32 g/cm³
Symmetry: P4/mmm (123)